Entry from the Alexandria database: Na2TaCdSn after structural relaxation (PBE).

Results
formation energy	0.89	eV/atom
N(E_F)	4.05	states/eV per cell
calculated total energy	-2.992	eV/atom
crystal system	tetragonal

Geometry as POSCAR:
```
Na2TaCdSn
1.0
-3.377 2.105 3.978
1.924 -3.619 3.548
4.033 3.622 1.507
Na Ta Cd Sn
2 1 1 1
direct
0.500 0.000 0.000
0.000 0.000 0.500
0.000 0.500 0.000
0.500 0.500 0.500
0.000 0.000 0.000
```